1.
First-principles (GGA-PBE) data for a relaxed structure of Mg2CoSe, as listed in Alexandria via LeMat-Bulk.

final energy	-0.138	Ha/atom
energy above the lowest structure with this stoichiometry	0.000	eV per atom
N(E_F)	2.458	states/eV per cell
symmetry	No. 38

Cell lengths 3.6927, 5.4293, 5.4293 Å; angles 40.46, 90.00, 90.00 degrees
With the nearest neighbours (Å) after each atom.
Atoms (fractional coordinates):
Mg  0.0000  0.0000  0.0000  4 Co 2.74, 3 Se 2.82-2.95
Mg  0.5000  0.3108  0.3108  1 Co 2.70, 4 Se 2.78
Co  0.5000  0.5759  0.5759  2 Se 2.38
Se  0.0000  0.7231  0.7231  2 Co 2.38


2.
First-principles (GGA-PBE) data for a relaxed structure of SiAuO3, as listed in Alexandria via LeMat-Bulk.

final energy	-0.208	Ha/atom
N(E_F)	8.346	states/eV per cell
symmetry	No. 221

Cell lengths 3.6128, 3.6128, 3.6128 Å; angles 90.00, 90.00, 90.00 degrees
With the nearest neighbours (Å) after each atom.
Atoms (fractional coordinates):
Si  0.0000  0.0000  0.0000  6 O 1.81
Au  0.5000  0.5000  0.5000  12 O 2.55
O  0.0000  0.0000  0.5000  2 Si 1.81
O  0.0000  0.5000  0.0000  2 Si 1.81
O  0.5000  0.0000  0.0000  2 Si 1.81


3.
First-principles (GGA-PBE) data for a relaxed structure of EuGd2Y, as listed in Alexandria via LeMat-Bulk.

DFT formation energy	12.9	kJ/mol of atoms
final energy	-0.408	Ha/atom
energy above the lowest structure with this stoichiometry	0.004	eV per atom
N(E_F)	6.713	states/eV per cell
symmetry	No. 123

Cell lengths 5.8846, 5.8846, 3.9415 Å; angles 90.00, 90.00, 90.00 degrees
With the nearest neighbours (Å) after each atom.
Atoms (fractional coordinates):
Eu  0.0000  0.0000  0.0000  8 Gd 3.54, 2 Eu 3.94
Gd  0.0000  0.5000  0.5000  4 Eu 3.54, 4 Y 3.54, 2 Gd 3.94
Gd  0.5000  0.0000  0.5000  4 Eu 3.54, 4 Y 3.54, 2 Gd 3.94
Y  0.5000  0.5000  0.0000  8 Gd 3.54, 2 Y 3.94


4.
First-principles (GGA-PBE) data for a relaxed structure of PaSbSe6, as listed in Alexandria via LeMat-Bulk.

final energy	-0.173	Ha/atom
N(E_F)	5.742	states/eV per cell
symmetry	No. 12

Cell lengths 6.6758, 6.6758, 6.6957 Å; angles 102.12, 102.12, 117.97 degrees
With the nearest neighbours (Å) after each atom.
Atoms (fractional coordinates):
Pa  0.0000  0.0000  0.0000  6 Se 2.77-2.89
Sb  0.5000  0.5000  0.5000  6 Se 2.78-2.96
Se  0.1376  0.4785  0.1857  1 Pa 2.77, 1 Sb 2.78, 1 Se 2.92
Se  0.1587  0.1587  0.6608  1 Se 2.36
Se  0.4785  0.1376  0.1857  1 Pa 2.77, 1 Sb 2.78, 1 Se 2.92
Se  0.5215  0.8624  0.8143  1 Pa 2.77, 1 Sb 2.78, 1 Se 2.92
Se  0.8413  0.8413  0.3392  1 Se 2.36
Se  0.8624  0.5215  0.8143  1 Pa 2.77, 1 Sb 2.78, 1 Se 2.92


5.
First-principles (GGA-PBE) data for a relaxed structure of ZnFe2Co, as listed in Alexandria via LeMat-Bulk.

DFT formation energy	1.6	kJ/mol of atoms
final energy	-0.232	Ha/atom
N(E_F)	2.612	states/eV per cell
symmetry	No. 47

Cell lengths 2.5974, 3.5770, 5.1420 Å; angles 90.00, 90.00, 90.00 degrees
With the nearest neighbours (Å) after each atom.
Atoms (fractional coordinates):
Zn  0.0000  0.0000  0.0000  2 Co 2.57, 8 Fe 2.59, 2 Zn 2.60
Fe  0.5000  0.5000  0.2640  4 Fe 2.43-2.71, 4 Co 2.52, 4 Zn 2.59
Fe  0.5000  0.5000  0.7360  4 Fe 2.43-2.71, 4 Co 2.52, 4 Zn 2.59
Co  0.0000  0.0000  0.5000  8 Fe 2.52, 2 Zn 2.57, 2 Co 2.60


6.
First-principles (GGA-PBE) data for a relaxed structure of CePmAu, as listed in Alexandria via LeMat-Bulk.

DFT formation energy	-20.0	kJ/mol of atoms
final energy	-0.179	Ha/atom
energy above the lowest structure with this stoichiometry	0.266	eV per atom
N(E_F)	12.125	states/eV per cell
symmetry	No. 71

Cell lengths 9.4610, 9.4610, 9.4610 Å; angles 159.57, 146.39, 39.65 degrees
With the nearest neighbours (Å) after each atom.
Atoms (fractional coordinates):
Ce  0.2401  0.0000  0.2401  2 Ce 2.63-2.84
Ce  0.7599  0.0000  0.7599  2 Ce 2.63-2.84
Pm  0.1734  0.6734  0.5000  5 Au 3.00-3.22, 2 Pm 3.36
Pm  0.8266  0.3266  0.5000  5 Au 3.00-3.22, 2 Pm 3.36
Au  0.3422  0.8422  0.5000  5 Pm 3.00-3.22, 2 Ce 3.15, 2 Au 3.36
Au  0.6578  0.1578  0.5000  5 Pm 3.00-3.22, 2 Ce 3.15, 2 Au 3.36